[1]
Computed, not measured: a relaxed structure of Tb3Sn4Pb3 at the PBE level of DFT.

Cell: 13.566 13.566 4.500 Å, 90.00 90.00 160.97°
Element x y z (fractional)
Tb  0.000  0.000  0.000
Tb  0.312  0.688  0.500
Tb  0.688  0.312  0.500
Sn  0.096  0.904  0.500
Sn  0.403  0.597  0.000
Sn  0.597  0.403  0.000
Sn  0.904  0.096  0.500
Pb  0.209  0.791  0.000
Pb  0.500  0.500  0.500
Pb  0.791  0.209  0.000

Results
Total magnetic moment (μB per formula unit): 0.0
Distance to the lowest polymorph of the same formula (eV/atom): 0.012


[2]
Computed, not measured: a relaxed structure of Tb3Sn3Pb4 at the PBE level of DFT.

Cell: 13.575 13.575 4.577 Å, 90.00 90.00 161.06°
Element x y z (fractional)
Tb  0.000  0.000  0.000
Tb  0.311  0.689  0.500
Tb  0.689  0.311  0.500
Sn  0.095  0.905  0.500
Sn  0.500  0.500  0.500
Sn  0.905  0.095  0.500
Pb  0.209  0.791  0.000
Pb  0.403  0.597  0.000
Pb  0.597  0.403  0.000
Pb  0.791  0.209  0.000

Results
Total magnetic moment (μB per formula unit): 0.0
Distance to the lowest polymorph of the same formula (eV/atom): 0.017


[3]
Computed, not measured: a relaxed structure of TbSnTe3Pb at the PBE level of DFT.

Cell: 8.010 8.010 11.112 Å, 90.00 90.00 147.86°
Element x y z (fractional)
Tb  0.000  0.000  0.000
Tb  0.000  0.000  0.500
Sn  0.474  0.526  0.750
Sn  0.526  0.474  0.250
Te  0.117  0.883  0.750
Te  0.355  0.645  0.531
Te  0.355  0.645  0.969
Te  0.645  0.355  0.031
Te  0.645  0.355  0.469
Te  0.883  0.117  0.250
Pb  0.225  0.775  0.250
Pb  0.775  0.225  0.750

Results
Total magnetic moment (μB per formula unit): 0.0


[4]
Computed, not measured: a relaxed structure of Tb2YSn3Pb4 at the PBE level of DFT.

Cell: 13.611 13.611 4.593 Å, 90.00 90.00 160.97°
Element x y z (fractional)
Tb  0.193  0.807  0.000
Tb  0.807  0.193  0.000
Y  0.500  0.500  0.500
Sn  0.000  0.000  0.000
Sn  0.289  0.711  0.500
Sn  0.711  0.289  0.500
Pb  0.098  0.902  0.500
Pb  0.403  0.597  0.000
Pb  0.597  0.403  0.000
Pb  0.902  0.098  0.500

Results
Total magnetic moment (μB per formula unit): 0.0
Distance to the lowest polymorph of the same formula (eV/atom): 0.000


[5]
Computed, not measured: a relaxed structure of Tb2YSn6Pb at the PBE level of DFT.

Cell: 13.497 13.497 4.491 Å, 90.00 90.00 161.13°
Element x y z (fractional)
Tb  0.189  0.811  0.000
Tb  0.811  0.189  0.000
Y  0.500  0.500  0.500
Sn  0.097  0.903  0.500
Sn  0.288  0.712  0.500
Sn  0.403  0.597  0.000
Sn  0.597  0.403  0.000
Sn  0.712  0.288  0.500
Sn  0.903  0.097  0.500
Pb  0.000  0.000  0.000

Results
Total magnetic moment (μB per formula unit): 0.0


[6]
Computed, not measured: a relaxed structure of Tb2YSn3Pb4 at the PBE level of DFT.

Cell: 13.603 13.603 4.499 Å, 90.00 90.00 160.81°
Element x y z (fractional)
Tb  0.189  0.811  0.000
Tb  0.811  0.189  0.000
Y  0.500  0.500  0.500
Sn  0.000  0.000  0.000
Sn  0.096  0.904  0.500
Sn  0.904  0.096  0.500
Pb  0.291  0.709  0.500
Pb  0.404  0.596  0.000
Pb  0.596  0.404  0.000
Pb  0.709  0.291  0.500

Results
Total magnetic moment (μB per formula unit): 0.0
Distance to the lowest polymorph of the same formula (eV/atom): 0.019


[7]
Computed, not measured: a relaxed structure of Tb2YSn3Pb4 at the PBE level of DFT.

Cell: 13.578 13.578 4.574 Å, 90.00 90.00 161.04°
Element x y z (fractional)
Tb  0.189  0.811  0.000
Tb  0.811  0.189  0.000
Y  0.500  0.500  0.500
Sn  0.000  0.000  0.000
Sn  0.405  0.595  0.000
Sn  0.595  0.405  0.000
Pb  0.097  0.903  0.500
Pb  0.291  0.709  0.500
Pb  0.709  0.291  0.500
Pb  0.903  0.097  0.500

Results
Total magnetic moment (μB per formula unit): 0.0
Distance to the lowest polymorph of the same formula (eV/atom): 0.017


[8]
Computed, not measured: a relaxed structure of TbY2Sn6Pb at the PBE level of DFT.

Cell: 13.487 13.487 4.490 Å, 90.00 90.00 161.12°
Element x y z (fractional)
Tb  0.000  0.000  0.000
Y  0.311  0.689  0.500
Y  0.689  0.311  0.500
Sn  0.097  0.903  0.500
Sn  0.212  0.788  0.000
Sn  0.403  0.597  0.000
Sn  0.597  0.403  0.000
Sn  0.788  0.212  0.000
Sn  0.903  0.097  0.500
Pb  0.500  0.500  0.500

Results
Total magnetic moment (μB per formula unit): 0.0


[9]
Computed, not measured: a relaxed structure of TcSnPb2 at the PBE level of DFT.

Cell: 7.229 7.229 7.229 Å, 90.00 90.00 90.00°
Element x y z (fractional)
Tc  0.000  0.000  0.000
Tc  0.000  0.500  0.500
Tc  0.500  0.000  0.500
Tc  0.500  0.500  0.000
Sn  0.250  0.250  0.250
Sn  0.250  0.750  0.750
Sn  0.750  0.250  0.750
Sn  0.750  0.750  0.250
Pb  0.000  0.000  0.500
Pb  0.000  0.500  0.000
Pb  0.250  0.250  0.750
Pb  0.250  0.750  0.250
Pb  0.500  0.000  0.000
Pb  0.500  0.500  0.500
Pb  0.750  0.250  0.250
Pb  0.750  0.750  0.750

Results
Total magnetic moment (μB per formula unit): 1.0


[10]
Computed, not measured: a relaxed structure of TcSnPb at the PBE level of DFT.

Cell: 6.571 6.571 6.571 Å, 90.00 90.00 90.00°
Element x y z (fractional)
Tc  0.000  0.000  0.000
Tc  0.000  0.500  0.500
Tc  0.500  0.000  0.500
Tc  0.500  0.500  0.000
Sn  0.250  0.250  0.250
Sn  0.250  0.750  0.750
Sn  0.750  0.250  0.750
Sn  0.750  0.750  0.250
Pb  0.250  0.250  0.750
Pb  0.250  0.750  0.250
Pb  0.750  0.250  0.250
Pb  0.750  0.750  0.750

Results
Total magnetic moment (μB per formula unit): 0.0
Distance to the lowest polymorph of the same formula (eV/atom): 0.000


[11]
Computed, not measured: a relaxed structure of ThSnPb at the PBE level of DFT.

Cell: 7.443 7.443 7.443 Å, 90.00 90.00 90.00°
Element x y z (fractional)
Th  0.000  0.000  0.000
Th  0.000  0.500  0.500
Th  0.500  0.000  0.500
Th  0.500  0.500  0.000
Sn  0.250  0.250  0.750
Sn  0.250  0.750  0.250
Sn  0.750  0.250  0.250
Sn  0.750  0.750  0.750
Pb  0.000  0.000  0.500
Pb  0.000  0.500  0.000
Pb  0.500  0.000  0.000
Pb  0.500  0.500  0.500

Results
Total magnetic moment (μB per formula unit): 0.0
Distance to the lowest polymorph of the same formula (eV/atom): 0.000


[12]
Computed, not measured: a relaxed structure of Tm8SnPb5 at the PBE level of DFT.

Cell: 8.017 8.017 8.017 Å, 109.47 109.47 109.48°
Element x y z (fractional)
Tm  0.021  0.128  0.751
Tm  0.235  0.484  0.610
Tm  0.375  0.765  0.248
Tm  0.377  0.270  0.249
Tm  0.516  0.127  0.752
Tm  0.730  0.979  0.107
Tm  0.872  0.623  0.893
Tm  0.873  0.625  0.390
Sn  0.500  0.500  0.000
Pb  0.126  0.001  0.374
Pb  0.248  0.874  0.875
Pb  0.626  0.752  0.626
Pb  0.750  0.250  0.500
Pb  0.999  0.374  0.125

Results
Total magnetic moment (μB per formula unit): 0.0


[13]
Computed, not measured: a relaxed structure of TmSnPb at the PBE level of DFT.

Cell: 7.265 7.265 7.265 Å, 90.00 90.00 90.00°
Element x y z (fractional)
Tm  0.000  0.000  0.000
Tm  0.000  0.500  0.500
Tm  0.500  0.000  0.500
Tm  0.500  0.500  0.000
Sn  0.250  0.250  0.250
Sn  0.250  0.750  0.750
Sn  0.750  0.250  0.750
Sn  0.750  0.750  0.250
Pb  0.250  0.250  0.750
Pb  0.250  0.750  0.250
Pb  0.750  0.250  0.250
Pb  0.750  0.750  0.750

Results
Total magnetic moment (μB per formula unit): 0.0
Distance to the lowest polymorph of the same formula (eV/atom): 0.000


[14]
Computed, not measured: a relaxed structure of TmSnPb at the PBE level of DFT.

Cell: 7.336 7.336 7.336 Å, 90.00 90.00 90.00°
Element x y z (fractional)
Tm  0.000  0.000  0.000
Tm  0.000  0.500  0.500
Tm  0.500  0.000  0.500
Tm  0.500  0.500  0.000
Sn  0.250  0.250  0.750
Sn  0.250  0.750  0.250
Sn  0.750  0.250  0.250
Sn  0.750  0.750  0.750
Pb  0.000  0.000  0.500
Pb  0.000  0.500  0.000
Pb  0.500  0.000  0.000
Pb  0.500  0.500  0.500

Results
Total magnetic moment (μB per formula unit): 0.0
Distance to the lowest polymorph of the same formula (eV/atom): 0.072


[15]
Computed, not measured: a relaxed structure of USnPb at the PBE level of DFT.

Cell: 7.298 7.298 7.298 Å, 90.00 90.00 90.00°
Element x y z (fractional)
U  0.000  0.000  0.000
U  0.000  0.500  0.500
U  0.500  0.000  0.500
U  0.500  0.500  0.000
Sn  0.250  0.250  0.250
Sn  0.250  0.750  0.750
Sn  0.750  0.250  0.750
Sn  0.750  0.750  0.250
Pb  0.250  0.250  0.750
Pb  0.250  0.750  0.250
Pb  0.750  0.250  0.250
Pb  0.750  0.750  0.750

Results
Total magnetic moment (μB per formula unit): 2.6
Distance to the lowest polymorph of the same formula (eV/atom): 0.000


[16]
Computed, not measured: a relaxed structure of USnPb at the PBE level of DFT.

Cell: 7.417 7.417 7.417 Å, 90.00 90.00 90.00°
Element x y z (fractional)
U  0.000  0.000  0.000
U  0.000  0.500  0.500
U  0.500  0.000  0.500
U  0.500  0.500  0.000
Sn  0.000  0.000  0.500
Sn  0.000  0.500  0.000
Sn  0.500  0.000  0.000
Sn  0.500  0.500  0.500
Pb  0.250  0.250  0.750
Pb  0.250  0.750  0.250
Pb  0.750  0.250  0.250
Pb  0.750  0.750  0.750

Results
Total magnetic moment (μB per formula unit): 3.4
Distance to the lowest polymorph of the same formula (eV/atom): 0.196


[17]
Computed, not measured: a relaxed structure of SnPbW at the PBE level of DFT.

Cell: 6.743 6.743 6.743 Å, 90.00 90.00 90.00°
Element x y z (fractional)
Sn  0.000  0.000  0.000
Sn  0.000  0.500  0.500
Sn  0.500  0.000  0.500
Sn  0.500  0.500  0.000
Pb  0.000  0.000  0.500
Pb  0.000  0.500  0.000
Pb  0.500  0.000  0.000
Pb  0.500  0.500  0.500
W  0.250  0.250  0.750
W  0.250  0.750  0.250
W  0.750  0.250  0.250
W  0.750  0.750  0.750

Results
Total magnetic moment (μB per formula unit): 1.2
Distance to the lowest polymorph of the same formula (eV/atom): 0.000


[18]
Computed, not measured: a relaxed structure of ZnSnPb at the PBE level of DFT.

Cell: 6.931 4.385 10.297 Å, 90.00 90.00 90.00°
Element x y z (fractional)
Zn  0.173  0.250  0.214
Zn  0.327  0.750  0.714
Zn  0.673  0.250  0.286
Zn  0.827  0.750  0.786
Sn  0.137  0.250  0.558
Sn  0.363  0.750  0.058
Sn  0.637  0.250  0.942
Sn  0.863  0.750  0.442
Pb  0.117  0.250  0.877
Pb  0.383  0.750  0.377
Pb  0.617  0.250  0.623
Pb  0.883  0.750  0.123


[19]
Computed, not measured: a relaxed structure of ZnSnPb at the PBE level of DFT.

Cell: 6.954 4.067 10.811 Å, 90.00 90.00 90.00°
Element x y z (fractional)
Zn  0.110  0.250  0.247
Zn  0.390  0.750  0.747
Zn  0.610  0.250  0.253
Zn  0.890  0.750  0.753
Sn  0.126  0.250  0.620
Sn  0.374  0.750  0.120
Sn  0.626  0.250  0.880
Sn  0.874  0.750  0.380
Pb  0.159  0.250  0.922
Pb  0.341  0.750  0.422
Pb  0.659  0.250  0.578
Pb  0.841  0.750  0.078


[20]
Computed, not measured: a relaxed structure of ZnSnPb at the PBE level of DFT.

Cell: 7.091 7.091 7.091 Å, 90.00 90.00 90.00°
Element x y z (fractional)
Zn  0.000  0.000  0.000
Zn  0.000  0.500  0.500
Zn  0.500  0.000  0.500
Zn  0.500  0.500  0.000
Sn  0.250  0.250  0.250
Sn  0.250  0.750  0.750
Sn  0.750  0.250  0.750
Sn  0.750  0.750  0.250
Pb  0.000  0.000  0.500
Pb  0.000  0.500  0.000
Pb  0.500  0.000  0.000
Pb  0.500  0.500  0.500


[21]
Computed, not measured: a relaxed structure of ZnSnPb2 at the PBE level of DFT.

Cell: 7.623 7.623 7.623 Å, 90.00 90.00 90.00°
Element x y z (fractional)
Zn  0.000  0.000  0.000
Zn  0.000  0.500  0.500
Zn  0.500  0.000  0.500
Zn  0.500  0.500  0.000
Sn  0.250  0.250  0.750
Sn  0.250  0.750  0.250
Sn  0.750  0.250  0.250
Sn  0.750  0.750  0.750
Pb  0.000  0.000  0.500
Pb  0.000  0.500  0.000
Pb  0.250  0.250  0.250
Pb  0.250  0.750  0.750
Pb  0.500  0.000  0.000
Pb  0.500  0.500  0.500
Pb  0.750  0.250  0.750
Pb  0.750  0.750  0.250


[22]
Computed, not measured: a relaxed structure of ZrSnPb at the PBE level of DFT.

Cell: 7.136 7.136 7.136 Å, 90.00 90.00 90.00°
Element x y z (fractional)
Zr  0.000  0.000  0.000
Zr  0.000  0.500  0.500
Zr  0.500  0.000  0.500
Zr  0.500  0.500  0.000
Sn  0.250  0.250  0.750
Sn  0.250  0.750  0.250
Sn  0.750  0.250  0.250
Sn  0.750  0.750  0.750
Pb  0.000  0.000  0.500
Pb  0.000  0.500  0.000
Pb  0.500  0.000  0.000
Pb  0.500  0.500  0.500

Results
Total magnetic moment (μB per formula unit): 0.0
Distance to the lowest polymorph of the same formula (eV/atom): 0.000


[23]
Computed, not measured: a relaxed structure of ZrSn2Pb at the PBE level of DFT.

Cell: 7.490 7.490 7.490 Å, 90.00 90.00 90.00°
Element x y z (fractional)
Zr  0.000  0.000  0.000
Zr  0.000  0.500  0.500
Zr  0.500  0.000  0.500
Zr  0.500  0.500  0.000
Sn  0.000  0.000  0.500
Sn  0.000  0.500  0.000
Sn  0.250  0.250  0.250
Sn  0.250  0.750  0.750
Sn  0.500  0.000  0.000
Sn  0.500  0.500  0.500
Sn  0.750  0.250  0.750
Sn  0.750  0.750  0.250
Pb  0.250  0.250  0.750
Pb  0.250  0.750  0.250
Pb  0.750  0.250  0.250
Pb  0.750  0.750  0.750

Results
Total magnetic moment (μB per formula unit): 0.0


[24]
Computed, not measured: a relaxed structure of SrTbPb2 at the PBE level of DFT.

Cell: 4.475 4.825 12.071 Å, 90.00 90.00 90.00°
Element x y z (fractional)
Sr  0.000  0.000  0.000
Sr  0.000  0.500  0.500
Tb  0.500  0.000  0.265
Tb  0.500  0.500  0.765
Pb  0.000  0.000  0.731
Pb  0.000  0.500  0.231
Pb  0.500  0.000  0.546
Pb  0.500  0.500  0.046

Results
Total magnetic moment (μB per formula unit): 0.0


[25]
Computed, not measured: a relaxed structure of SrTcPb2 at the PBE level of DFT.

Cell: 7.459 7.459 7.459 Å, 90.00 90.00 90.00°
Element x y z (fractional)
Sr  0.000  0.000  0.000
Sr  0.000  0.500  0.500
Sr  0.500  0.000  0.500
Sr  0.500  0.500  0.000
Tc  0.250  0.250  0.250
Tc  0.250  0.750  0.750
Tc  0.750  0.250  0.750
Tc  0.750  0.750  0.250
Pb  0.000  0.000  0.500
Pb  0.000  0.500  0.000
Pb  0.250  0.250  0.750
Pb  0.250  0.750  0.250
Pb  0.500  0.000  0.000
Pb  0.500  0.500  0.500
Pb  0.750  0.250  0.250
Pb  0.750  0.750  0.750

Results
Total magnetic moment (μB per formula unit): 1.9


[26]
Computed, not measured: a relaxed structure of SrTmPb at the PBE level of DFT.

Cell: 7.617 7.617 7.617 Å, 90.00 90.00 90.00°
Element x y z (fractional)
Sr  0.000  0.000  0.000
Sr  0.000  0.500  0.500
Sr  0.500  0.000  0.500
Sr  0.500  0.500  0.000
Tm  0.000  0.000  0.500
Tm  0.000  0.500  0.000
Tm  0.500  0.000  0.000
Tm  0.500  0.500  0.500
Pb  0.250  0.250  0.250
Pb  0.250  0.750  0.750
Pb  0.750  0.250  0.750
Pb  0.750  0.750  0.250

Results
Total magnetic moment (μB per formula unit): 0.0


[27]
Computed, not measured: a relaxed structure of SrUPb at the PBE level of DFT.

Cell: 7.757 7.757 7.757 Å, 90.00 90.00 90.00°
Element x y z (fractional)
Sr  0.000  0.000  0.000
Sr  0.000  0.500  0.500
Sr  0.500  0.000  0.500
Sr  0.500  0.500  0.000
U  0.000  0.000  0.500
U  0.000  0.500  0.000
U  0.500  0.000  0.000
U  0.500  0.500  0.500
Pb  0.250  0.250  0.250
Pb  0.250  0.750  0.750
Pb  0.750  0.250  0.750
Pb  0.750  0.750  0.250

Results
Total magnetic moment (μB per formula unit): 4.0


| no. | E_tot (eV per atom) |
| --- | --- |
| 1 | -4.550 |
| 2 | -4.492 |
| 3 | -4.169 |
| 4 | -4.692 |
| 5 | -4.863 |
| 6 | -4.673 |
| 7 | -4.674 |
| 8 | -5.047 |
| 9 | -4.770 |
| 10 | -5.555 |
| 11 | -4.962 |
| 12 | -4.682 |
| 13 | -4.182 |
| 14 | -4.110 |
| 15 | -5.855 |
| 16 | -5.659 |
| 17 | -5.895 |
| 18 | -2.847 |
| 19 | -2.866 |
| 20 | -2.801 |
| 21 | -3.025 |
| 22 | -5.057 |
| 23 | -4.867 |
| 24 | -3.872 |
| 25 | -4.279 |
| 26 | -3.484 |
| 27 | -4.978 |